[1]
## ThScPdRh (PBE)

Data for a relaxed structure of ThScPdRh.

Cell: 4.905 4.905 4.905 Å, 60.00 60.00 60.00°
Sites, in units of the cell vectors:
Pd1 0.750 0.750 0.750
Rh1 0.250 0.250 0.250
Sc1 0.000 0.000 0.000
Th1 0.500 0.500 0.500

Computed properties:
**Raw total energy**: -0.26934 Ha/atom
**Crystal system**: cubic
**Space group**: F-43m, No. 216

=====

[2]
## HoThTaC3 (PBE)

Data for a relaxed structure of HoThTaC3.

Cell: 3.591 5.923 8.942 Å, 102.01 90.00 90.00°
Sites, in units of the cell vectors:
Th1 0.750 0.644 0.692
Th2 0.250 0.356 0.308
C1 0.750 0.222 0.525
C2 0.750 0.046 0.179
C3 0.250 0.778 0.475
C4 0.250 0.435 0.818
C5 0.250 0.954 0.821
C6 0.750 0.565 0.182
Ho1 0.250 0.767 0.050
Ho2 0.750 0.233 0.950
Ta1 0.750 0.868 0.364
Ta2 0.250 0.132 0.636

Computed properties:
**Raw total energy**: -0.32895 Ha/atom
**Crystal system**: monoclinic
**Space group**: P2_1/m, No. 11

=====

[3]
## CaMnPtI2 (PBE)

Data for a relaxed structure of CaMnPtI2.

Cell: 5.938 5.368 5.938 Å, 90.00 90.00 90.00°
Site moments in Bohr magnetons follow the coordinates.
Sites, in units of the cell vectors:
I1 0.500 0.000 0.000  0.05
I2 0.000 0.000 0.500  0.02
Ca1 0.000 0.000 0.000  0.00
Mn1 0.500 0.500 0.500  4.76
Pt1 0.000 0.500 0.000  -0.22

Computed properties:
**Raw total energy**: -0.13537 Ha/atom
**Crystal system**: tetragonal
**Space group**: P4/mmm, No. 123

=====

[4]
## AcCe2Al6 (PBE)

Data for a relaxed structure of AcCe2Al6.

Cell: 3.729 8.094 8.094 Å, 120.00 90.00 90.00°
Site moments in Bohr magnetons follow the coordinates.
Sites, in units of the cell vectors:
Ce1 0.000 0.667 0.333  0.57
Ce2 0.000 0.333 0.667  0.57
Al1 0.500 0.339 0.339  0.00
Al2 0.500 0.661 0.661  0.00
Al3 0.500 0.000 0.339  0.00
Al4 0.500 0.661 0.000  0.00
Al5 0.500 0.339 0.000  0.00
Al6 0.500 0.000 0.661  0.00
Ac1 0.000 0.000 0.000  -0.01

Computed properties:
**Raw total energy**: -0.17012 Ha/atom
**Crystal system**: hexagonal
**Space group**: P6/mmm, No. 191

=====

| no. | size of the total moment (μB/atom) | N(E_F) (states/eV/cell) |
| --- | --- | --- |
| 1 | 0.00 | 5.827 |
| 2 | 0.00 | 4.519 |
| 3 | 1.05 | 4.108 |
| 4 | 0.14 | 10.602 |